(P)
The following is a DFT calculation (GGA-PBE) of GaSb2O after structural relaxation.

The space group is Fm-3m (No. 225) and the conventional cell measures 6.6757, 6.6757 and 6.6757 Å, with angles of 90.00, 90.00 and 90.00 degrees. The inequivalent atoms are Ga at (0.0000, 0.0000, 0.0000), Sb at (0.2500, 0.2500, 0.2500) and O at (0.0000, 0.0000, 0.5000).

Its density of states at the Fermi level is 0.42 states/eV/atom. As for the crystal system: cubic. The calculation puts the size of the total moment at 0.00 μB per formula unit.

(Q)
The following is a DFT calculation (GGA-PBE) of GaSb2O after structural relaxation.

The space group is I-42d (No. 122) and the conventional cell measures 5.3238, 5.3238 and 13.5537 Å, with angles of 90.00, 90.00 and 90.00 degrees. The inequivalent atoms are Ga at (0.0000, 0.0000, 0.0000), Sb at (0.1641, 0.2500, 0.6250) and O at (0.0000, 0.0000, 0.5000).

Its density of states at the Fermi level is 0.67 states/eV/atom. As for the crystal system: tetragonal. The calculation puts the size of the total moment at 0.00 μB per formula unit.

Which of them is the least stable? Correct choice: (P).

(P)
The following is a DFT calculation (GGA-PBE) of GaSb3O after structural relaxation.

The space group is Pm-3m (No. 221) and the conventional cell measures 5.2543, 5.2543 and 5.2543 Å, with angles of 90.00, 90.00 and 90.00 degrees. The inequivalent atoms are Ga at (0.0000, 0.0000, 0.0000), Sb at (0.0000, 0.0000, 0.5000) and O at (0.5000, 0.5000, 0.5000).

Its density of states at the Fermi level is 3.66 states/eV/atom. As for the crystal system: cubic. The calculation puts the size of the total moment at 0.00 μB per formula unit.

(Q)
The following is a DFT calculation (GGA-PBE) of GaSb3O after structural relaxation.

The space group is Pm-3m (No. 221) and the conventional cell measures 4.8274, 4.8274 and 4.8274 Å, with angles of 90.00, 90.00 and 90.00 degrees. The inequivalent atoms are Ga at (0.0000, 0.0000, 0.0000), Sb at (0.0000, 0.5000, 0.5000) and O at (0.5000, 0.5000, 0.5000).

Its density of states at the Fermi level is 1.07 states/eV/atom. As for the crystal system: cubic. The calculation puts the size of the total moment at 0.00 μB per formula unit.

Which of them is the least stable? Correct choice: (P).

(P)
The following is a DFT calculation (GGA-PBE) of GaSb2O6 after structural relaxation.

The space group is P321 (No. 150) and the conventional cell measures 8.8804, 8.8804 and 4.7004 Å, with angles of 90.00, 90.00 and 120.00 degrees. The inequivalent atoms are Ga at (0.0000, 0.0000, 0.0000), Ga at (0.3333, 0.6667, 0.5073), Sb at (0.0000, 0.3063, 0.5000), Sb at (0.0000, 0.6407, 0.0000), O at (0.1009, 0.8840, 0.7674), O at (0.1151, 0.5339, 0.7328) and O at (0.2205, 0.7752, 0.2793).

Its density of states at the Fermi level is 0.21 states/eV/atom. As for the crystal system: trigonal. The calculation puts the size of the total moment at 0.00 μB per formula unit.

(Q)
The following is a DFT calculation (GGA-PBE) of GaSb2O6 after structural relaxation.

The space group is P4_2/mnm (No. 136) and the conventional cell measures 4.7781, 4.7781 and 9.5732 Å, with angles of 90.00, 90.00 and 90.00 degrees. The inequivalent atoms are Ga at (0.0000, 0.0000, 0.0000), Sb at (0.0000, 0.0000, 0.3328), O at (0.1917, 0.1917, 0.1641) and O at (0.1956, 0.1956, 0.5000).

Its density of states at the Fermi level is 0.16 states/eV/atom. As for the crystal system: tetragonal. The calculation puts the size of the total moment at 0.00 μB per formula unit.

Which of them is the least stable? Correct choice: (P).

(P)
The following is a DFT calculation (GGA-PBE) of GaSbO2 after structural relaxation.

The space group is R-3m (No. 166, hexagonal axes) and the conventional cell measures 3.3726, 3.3726 and 20.1431 Å, with angles of 90.00, 90.00 and 120.00 degrees. The inequivalent atoms are Ga at (0.0000, 0.0000, 0.0000), Sb at (0.0000, 0.0000, 0.5000) and O at (0.0000, 0.0000, 0.1039).

Its density of states at the Fermi level is 0.00 states/eV/atom. As for the crystal system: trigonal. The calculation puts the size of the total moment at 0.00 μB per formula unit.

(Q)
The following is a DFT calculation (GGA-PBE) of GaSbO2 after structural relaxation.

The space group is I-42d (No. 122) and the conventional cell measures 5.3185, 5.3185 and 8.8936 Å, with angles of 90.00, 90.00 and 90.00 degrees. The inequivalent atoms are Ga at (0.0000, 0.0000, 0.0000), Sb at (0.0000, 0.0000, 0.5000) and O at (0.1332, 0.2500, 0.1250).

Its density of states at the Fermi level is 0.15 states/eV/atom. As for the crystal system: tetragonal. The calculation puts the size of the total moment at 0.00 μB per formula unit.

Which of them is the least stable? Correct choice: (P).

(P)
The following is a DFT calculation (GGA-PBE) of GaSbO2 after structural relaxation.

The space group is Fm-3m (No. 225) and the conventional cell measures 6.0042, 6.0042 and 6.0042 Å, with angles of 90.00, 90.00 and 90.00 degrees. The inequivalent atoms are Ga at (0.0000, 0.0000, 0.0000), Sb at (0.0000, 0.0000, 0.5000) and O at (0.2500, 0.2500, 0.2500).

Its density of states at the Fermi level is 0.17 states/eV/atom. As for the crystal system: cubic. The calculation puts the size of the total moment at 0.00 μB per formula unit.

(Q)
The following is a DFT calculation (GGA-PBE) of GaSbO2 after structural relaxation.

The space group is R-3m (No. 166, hexagonal axes) and the conventional cell measures 3.1005, 3.1005 and 19.8001 Å, with angles of 90.00, 90.00 and 120.00 degrees. The inequivalent atoms are Ga at (0.0000, 0.0000, 0.0000), Sb at (0.0000, 0.0000, 0.5000) and O at (0.0000, 0.0000, 0.3841).

Its density of states at the Fermi level is 0.14 states/eV/atom. As for the crystal system: trigonal. The calculation puts the size of the total moment at 0.00 μB per formula unit.

Which of them is the least stable? Correct choice: (P).

(P)
The following is a DFT calculation (GGA-PBE) of Ga3SbO after structural relaxation.

The space group is Pm-3m (No. 221) and the conventional cell measures 5.3934, 5.3934 and 5.3934 Å, with angles of 90.00, 90.00 and 90.00 degrees. The inequivalent atoms are Ga at (0.0000, 0.0000, 0.5000), Sb at (0.0000, 0.0000, 0.0000) and O at (0.5000, 0.5000, 0.5000).

Its density of states at the Fermi level is 0.36 states/eV/atom. As for the crystal system: cubic. The calculation puts the size of the total moment at 0.00 μB per formula unit.

(Q)
The following is a DFT calculation (GGA-PBE) of Ga3SbO after structural relaxation.

The space group is Pm-3m (No. 221) and the conventional cell measures 4.5517, 4.5517 and 4.5517 Å, with angles of 90.00, 90.00 and 90.00 degrees. The inequivalent atoms are Ga at (0.0000, 0.0000, 0.5000), Sb at (0.5000, 0.5000, 0.5000) and O at (0.0000, 0.0000, 0.0000).

Its density of states at the Fermi level is 0.58 states/eV/atom. As for the crystal system: cubic. The calculation puts the size of the total moment at 0.00 μB per formula unit.

Which of them is the least stable? Correct choice: (P).

(P)
The following is a DFT calculation (GGA-PBE) of Sc2GaO after structural relaxation.

The space group is Fm-3m (No. 225) and the conventional cell measures 6.4320, 6.4320 and 6.4320 Å, with angles of 90.00, 90.00 and 90.00 degrees. The inequivalent atoms are Sc at (0.2500, 0.2500, 0.2500), Ga at (0.0000, 0.0000, 0.0000) and O at (0.0000, 0.0000, 0.5000).

Its density of states at the Fermi level is 1.57 states/eV/atom. As for the crystal system: cubic. The calculation puts the size of the total moment at 0.00 μB per formula unit.

(Q)
The following is a DFT calculation (GGA-PBE) of Sc2GaO after structural relaxation.

The space group is Amm2 (No. 38) and the conventional cell measures 3.1059, 2.9917 and 14.3626 Å, with angles of 90.00, 90.00 and 90.00 degrees. The inequivalent atoms are Sc at (0.0000, 0.0000, 0.0000), Sc at (0.5000, 0.0000, 0.3167), Ga at (0.5000, 0.0000, 0.6383) and O at (0.0000, 0.0000, 0.8503).

Its density of states at the Fermi level is 1.14 states/eV/atom. As for the crystal system: orthorhombic. The calculation puts the size of the total moment at 0.00 μB per formula unit.

(R)
The following is a DFT calculation (GGA-PBE) of Sc2GaO after structural relaxation.

The space group is R-3m (No. 166, hexagonal axes) and the conventional cell measures 3.1841, 3.1841 and 24.1639 Å, with angles of 90.00, 90.00 and 120.00 degrees. The inequivalent atoms are Sc at (0.0000, 0.0000, 0.1149), Ga at (0.0000, 0.0000, 0.0000) and O at (0.0000, 0.0000, 0.5000).

Its density of states at the Fermi level is 1.04 states/eV/atom. As for the crystal system: trigonal. The calculation puts the size of the total moment at 0.00 μB per formula unit.

Which of them is the least stable? Correct choice: (P).

(P)
The following is a DFT calculation (GGA-PBE) of Sc3GaO6 after structural relaxation.

The space group is R-3 (No. 148, hexagonal axes) and the conventional cell measures 8.8545, 8.8545 and 10.3388 Å, with angles of 90.00, 90.00 and 120.00 degrees. The inequivalent atoms are Sc at (0.0418, 0.2671, 0.2064), Ga at (0.0000, 0.0000, 0.0000), Ga at (0.0000, 0.0000, 0.5000), O at (0.0255, 0.2090, 0.4008) and O at (0.0273, 0.1866, 0.8779).

Its density of states at the Fermi level is 0.00 states/eV/atom. As for the crystal system: trigonal. The calculation puts the size of the total moment at 0.00 μB per formula unit.

(Q)
The following is a DFT calculation (GGA-PBE) of Sc3GaO6 after structural relaxation.

The space group is Cmc2_1 (No. 36) and the conventional cell measures 8.3480, 10.5301 and 5.1665 Å, with angles of 90.00, 90.00 and 90.00 degrees. The inequivalent atoms are Sc at (0.0000, 0.0990, 0.0000), Sc at (0.1933, 0.3971, 0.0578), Ga at (0.0000, 0.3039, 0.5792), O at (0.0000, 0.2847, 0.2257), O at (0.0000, 0.4628, 0.7445), O at (0.1616, 0.0235, 0.2783) and O at (0.1641, 0.2284, 0.7737).

Its density of states at the Fermi level is 0.00 states/eV/atom. As for the crystal system: orthorhombic. The calculation puts the size of the total moment at 0.00 μB per formula unit.

Which of them is the least stable? Correct choice: (Q).

(P)
The following is a DFT calculation (GGA-PBE) of Sc6Ga2O after structural relaxation.

The space group is Fm-3m (No. 225) and the conventional cell measures 8.7826, 8.7826 and 8.7826 Å, with angles of 90.00, 90.00 and 90.00 degrees. The inequivalent atoms are Sc at (0.0000, 0.0000, 0.2490), Ga at (0.2500, 0.2500, 0.2500) and O at (0.0000, 0.0000, 0.0000).

Its density of states at the Fermi level is 1.09 states/eV/atom. As for the crystal system: cubic. The calculation puts the size of the total moment at 0.00 μB per formula unit.

(Q)
The following is a DFT calculation (GGA-PBE) of Sc6Ga2O after structural relaxation.

The space group is Amm2 (No. 38) and the conventional cell measures 3.2713, 13.4773 and 8.0959 Å, with angles of 90.00, 90.00 and 90.00 degrees. The inequivalent atoms are Sc at (0.0000, 0.0000, 0.0000), Sc at (0.0000, 0.1115, 0.6298), Sc at (0.5000, 0.0000, 0.3284), Sc at (0.5000, 0.2060, 0.9596), Ga at (0.0000, 0.1697, 0.2498) and O at (0.5000, 0.0000, 0.5824).

Its density of states at the Fermi level is 1.29 states/eV/atom. As for the crystal system: orthorhombic. The calculation puts the size of the total moment at 0.98 μB per formula unit.

Which of them is the least stable? Correct choice: (Q).

(P)
The following is a DFT calculation (GGA-PBE) of GaSe2O after structural relaxation.

The space group is R-3m (No. 166, hexagonal axes) and the conventional cell measures 3.9338, 3.9338 and 19.6965 Å, with angles of 90.00, 90.00 and 120.00 degrees. The inequivalent atoms are Ga at (0.0000, 0.0000, 0.0000), Se at (0.0000, 0.0000, 0.4030) and O at (0.0000, 0.0000, 0.5000).

Its density of states at the Fermi level is 1.10 states/eV/atom. As for the crystal system: trigonal. The calculation puts the size of the total moment at 0.00 μB per formula unit.

(Q)
The following is a DFT calculation (GGA-PBE) of GaSe2O after structural relaxation.

The space group is Fm-3m (No. 225) and the conventional cell measures 6.2944, 6.2944 and 6.2944 Å, with angles of 90.00, 90.00 and 90.00 degrees. The inequivalent atoms are Ga at (0.0000, 0.0000, 0.0000), Se at (0.2500, 0.2500, 0.2500) and O at (0.0000, 0.0000, 0.5000).

Its density of states at the Fermi level is 0.74 states/eV/atom. As for the crystal system: cubic. The calculation puts the size of the total moment at 0.00 μB per formula unit.

Which of them is the least stable? Correct choice: (Q).

(P)
The following is a DFT calculation (GGA-PBE) of GaSe2O after structural relaxation.

The space group is I-42d (No. 122) and the conventional cell measures 5.0985, 5.0985 and 12.8706 Å, with angles of 90.00, 90.00 and 90.00 degrees. The inequivalent atoms are Ga at (0.0000, 0.0000, 0.0000), Se at (0.1875, 0.2500, 0.6250) and O at (0.0000, 0.0000, 0.5000).

Its density of states at the Fermi level is 0.34 states/eV/atom. As for the crystal system: tetragonal. The calculation puts the size of the total moment at 0.00 μB per formula unit.

(Q)
The following is a DFT calculation (GGA-PBE) of GaSe2O after structural relaxation.

The space group is R-3m (No. 166, hexagonal axes) and the conventional cell measures 2.9570, 2.9570 and 26.5051 Å, with angles of 90.00, 90.00 and 120.00 degrees. The inequivalent atoms are Ga at (0.0000, 0.0000, 0.0000), Se at (0.0000, 0.0000, 0.1024) and O at (0.0000, 0.0000, 0.5000).

Its density of states at the Fermi level is 0.70 states/eV/atom. As for the crystal system: trigonal. The calculation puts the size of the total moment at 0.00 μB per formula unit.

Which of them is the least stable? Correct choice: (Q).

(P)
The following is a DFT calculation (GGA-PBE) of GaSe3O after structural relaxation.

The space group is Pm-3m (No. 221) and the conventional cell measures 4.9157, 4.9157 and 4.9157 Å, with angles of 90.00, 90.00 and 90.00 degrees. The inequivalent atoms are Ga at (0.0000, 0.0000, 0.0000), Se at (0.0000, 0.0000, 0.5000) and O at (0.5000, 0.5000, 0.5000).

Its density of states at the Fermi level is 1.73 states/eV/atom. As for the crystal system: cubic. The calculation puts the size of the total moment at 0.00 μB per formula unit.

(Q)
The following is a DFT calculation (GGA-PBE) of GaSe3O after structural relaxation.

The space group is Pm-3m (No. 221) and the conventional cell measures 4.5637, 4.5637 and 4.5637 Å, with angles of 90.00, 90.00 and 90.00 degrees. The inequivalent atoms are Ga at (0.0000, 0.0000, 0.0000), Se at (0.0000, 0.5000, 0.5000) and O at (0.5000, 0.5000, 0.5000).

Its density of states at the Fermi level is 0.74 states/eV/atom. As for the crystal system: cubic. The calculation puts the size of the total moment at 0.00 μB per formula unit.

Which of them is the least stable? Correct choice: (P).